# YInRu2Au

A relaxed structure of YInRu2Au (GGA-PBEsol, Alexandria via LeMat-Bulk).

```
data_YInRu2Au
_cell_length_a 4.766
_cell_length_b 4.766
_cell_length_c 5.180
_cell_angle_alpha 90.00
_cell_angle_beta 90.00
_cell_angle_gamma 90.00
_symmetry_space_group_name_H-M 'P 4/m m m'
_symmetry_Int_Tables_number 123
_symmetry_space_group_name_Hall '-P 4 2'
loop_
_atom_site_label
_atom_site_fract_x
_atom_site_fract_y
_atom_site_fract_z
Y1 0.000 0.000 0.000
In1 0.500 0.500 0.500
Ru1 0.000 0.500 0.000
Au1 0.000 0.000 0.500
```

- magnetic moment (μB/cell) = 1.83
- calculated total energy (eV/cell) = -26.62